1.
PBE-GGA NaSr2Ac3Te6, optimized geometry; energy relative to the elements, uncorrected = -1534 meV/atom; symmetry = No. 12; theoretical density = 6.101 g/cm3; spin magnetization = 0.00 μB per atom
1.0
-0.924 -7.730 -2.422
1.749 1.648 7.791
-7.868 2.426 -0.169
Na Sr Ac Te
1 2 3 6
Direct
0.000 0.000 0.000
0.334 0.666 0.000
0.666 0.334 0.000
0.167 0.833 0.500
0.833 0.167 0.500
0.500 0.500 0.500
0.918 0.587 0.754
0.752 0.752 0.246
0.082 0.413 0.246
0.587 0.918 0.754
0.248 0.248 0.754
0.413 0.082 0.246



2.
PBE-GGA ScAgP, optimized geometry; final energy = -5.3920 eV per atom; symmetry = No. 156; theoretical density = 5.512 g/cm3; spin magnetization = 0.00 μB per atom
1.0
3.277 2.464 0.029
-3.746 1.563 0.583
0.363 -0.527 3.749
Sc Ag P
1 1 1
Direct
0.333 0.667 0.628
0.000 0.000 0.091
0.667 0.333 0.282



3.
PBE-GGA BaY2W, optimized geometry; symmetry = No. 44; polymorph energy (0 for the lowest one) = 0.260 eV/atom; theoretical density = 6.049 g/cm3; spin magnetization = 0.00 μB per atom
1.0
8.550 0.041 -0.018
6.328 5.750 0.018
-6.984 -4.066 2.794
Ba W Y
1 1 2
Direct
0.426 0.426 0.000
0.240 0.740 0.500
0.093 0.093 0.000
0.741 0.241 0.500



4.
PBE-GGA ReTc2O6, optimized geometry; energy relative to the elements, uncorrected = -1368 meV/atom; symmetry = No. 136; theoretical density = 8.032 g/cm3; spin magnetization = 0.00 μB per atom
1.0
4.874 0.000 0.000
0.000 4.874 0.000
0.000 0.000 8.321
Re Tc O
2 4 12
Direct
0.500 0.500 0.000
0.000 0.000 0.500
0.500 0.500 0.332
0.500 0.500 0.668
0.000 0.000 0.168
0.000 0.000 0.832
0.714 0.714 0.163
0.714 0.714 0.837
0.718 0.718 0.500
0.782 0.218 0.000
0.786 0.214 0.337
0.786 0.214 0.663
0.214 0.786 0.337
0.214 0.786 0.663
0.218 0.782 0.000
0.282 0.282 0.500
0.286 0.286 0.163
0.286 0.286 0.837



- Which of these has the highest theoretical density?
  ReTc2O6



- spin magnetization of number 4 (ReTc2O6)?
  0.00 μB per atom